# Li2CeZn9 | Alexandria | PBE | relaxed
# Fermi-level density of states in states/eV per cell: 6.86
# Size of the total moment in μB/cell: 0.75
# ΔE_f in meV/atom: -35.8
# Volume in Å³ per atom: 16.65
# ρ in g cm⁻³: 6.17
# Energy relative to the lowest polymorph listed for this composition in kJ/mol of formula units: 176
data_Li2CeZn9
_symmetry_space_group_name_H-M 'P 1'
_symmetry_Int_Tables_number 1
_symmetry_space_group_name_Hall 'P 1'
_cell_length_a 3.6874
_cell_length_b 7.9096
_cell_length_c 7.9096
_cell_angle_alpha 120.00
_cell_angle_beta 90.00
_cell_angle_gamma 90.00
loop_
_atom_site_label
_atom_site_type_symbol
_atom_site_fract_x
_atom_site_fract_y
_atom_site_fract_z
Li1 Li 0.0000 0.6667 0.3333
Li2 Li 0.0000 0.3333 0.6667
Ce1 Ce 0.0000 0.0000 0.0000
Zn1 Zn 0.5000 0.8029 0.1971
Zn2 Zn 0.0000 0.0000 0.5000
Zn3 Zn 0.0000 0.5000 0.5000
Zn4 Zn 0.5000 0.8029 0.6058
Zn5 Zn 0.5000 0.1971 0.8029
Zn6 Zn 0.5000 0.6058 0.8029
Zn7 Zn 0.5000 0.1971 0.3942
Zn8 Zn 0.0000 0.5000 0.0000
Zn9 Zn 0.5000 0.3942 0.1971

=====

# LiCe2Zn | Alexandria | PBE | relaxed
# Fermi-level density of states in states/eV per cell: 11.73
# Size of the total moment in μB/cell: 1.44
# ΔE_f in meV/atom: 62.7
# Volume in Å³ per atom: 23.89
# ρ in g cm⁻³: 6.13
# Energy relative to the lowest polymorph listed for this composition in kJ/mol of formula units: 20
data_LiCe2Zn
_symmetry_space_group_name_H-M 'P 1'
_symmetry_Int_Tables_number 1
_symmetry_space_group_name_Hall 'P 1'
_cell_length_a 5.1319
_cell_length_b 5.1319
_cell_length_c 5.1319
_cell_angle_alpha 60.00
_cell_angle_beta 60.00
_cell_angle_gamma 60.00
loop_
_atom_site_label
_atom_site_type_symbol
_atom_site_fract_x
_atom_site_fract_y
_atom_site_fract_z
Zn1 Zn 0.5000 0.5000 0.5000
Ce1 Ce 0.2500 0.2500 0.2500
Ce2 Ce 0.7500 0.7500 0.7500
Li1 Li 0.0000 0.0000 0.0000

=====

# LiCe2Zn6 | Alexandria | PBE | relaxed
# Fermi-level density of states in states/eV per cell: 13.71
# Size of the total moment in μB/cell: 1.42
# ΔE_f in meV/atom: -180.2
# Volume in Å³ per atom: 19.24
# ρ in g cm⁻³: 6.52
# Energy relative to the lowest polymorph listed for this composition in kJ/mol of formula units: 26
data_LiCe2Zn6
_symmetry_space_group_name_H-M 'P 1'
_symmetry_Int_Tables_number 1
_symmetry_space_group_name_Hall 'P 1'
_cell_length_a 5.7885
_cell_length_b 5.8781
_cell_length_c 5.8783
_cell_angle_alpha 59.99
_cell_angle_beta 90.00
_cell_angle_gamma 90.00
loop_
_atom_site_label
_atom_site_type_symbol
_atom_site_fract_x
_atom_site_fract_y
_atom_site_fract_z
Li1 Li 0.0000 0.0000 0.0000
Ce1 Ce 0.8456 0.6666 0.6666
Ce2 Ce 0.1544 0.3334 0.3334
Zn1 Zn 0.3365 0.3538 0.8231
Zn2 Zn 0.3364 0.8230 0.8230
Zn3 Zn 0.3365 0.8231 0.3538
Zn4 Zn 0.6635 0.6462 0.1769
Zn5 Zn 0.6636 0.1770 0.1770
Zn6 Zn 0.6635 0.1769 0.6462